Density functional theory data (GGA-PBE) for a relaxed NdCrFeP2 crystal.

Properties
- total moment (μB/atom) = 0.5529
- ΔH_f (0 K) (kcal/mol of atoms) = -19.64

Unit cell a=6.167 b=6.167 c=6.167 alpha=144.06 beta=144.06 gamma=51.73
Positions (direct):
Nd  0.000  0.000  0.000
Cr  0.250  0.750  0.500
Fe  0.750  0.250  0.500
P  0.362  0.362  0.000
P  0.638  0.638  0.000